Entry 1:
Here is LiAlAg2 at its PBEsol-relaxed geometry from Alexandria. Energies are from SCAN.

```
LiAlAg2
1.0
3.006 0.000 0.000
0.000 4.528 -0.013
-1.503 -1.406 4.536
Ag Li Al
2 1 1
direct
0.999 0.958 0.998
0.754 0.296 0.508
0.252 0.790 0.504
0.495 0.457 0.990
```

Values from the calculation:
DFT total energy = -73.8 eV per cell
Energy of formation from the pure elements = -0.9 eV per formula unit

=====

Entry 2:
Here is Mg2CdBi at its PBEsol-relaxed geometry from Alexandria. Energies are from SCAN.

```
Mg2CdBi
1.0
5.154 0.000 0.000
2.577 4.464 0.000
2.577 1.488 4.209
Mg Cd Bi
2 1 1
direct
0.250 0.250 0.250
0.750 0.750 0.750
0.000 0.000 0.000
0.500 0.500 0.500
```

Values from the calculation:
DFT total energy = -119.3 eV per cell
Energy of formation from the pure elements = -0.4 eV per formula unit

=====

Entry 3:
Here is MgAl2C2 at its PBEsol-relaxed geometry from Alexandria. Energies are from SCAN.

```
MgAl2C2
1.0
-2.925 0.415 -1.636
0.671 -2.927 1.545
-2.425 2.000 4.843
Al C Mg
2 2 1
direct
0.667 0.333 0.350
0.333 0.667 0.650
0.667 0.333 0.730
0.333 0.667 0.270
0.000 0.000 0.000
```

Values from the calculation:
DFT total energy = -41.7 eV per cell
Energy of formation from the pure elements = -1.0 eV per formula unit